## Ba2FePbN (PBE-GGA)

Data for an optimized crystal structure of Ba2FePbN.

Output
* M_tot: 2.438 μB per formula unit
* formation energy without anion corrections: 0.3778 eV per atom
* crystal system: tetragonal
* raw total energy: -4.49 eV/atom

Geometry as CIF:
```
data_Ba2FePbN
_cell_length_a 5.575
_cell_length_b 5.575
_cell_length_c 4.842
_cell_angle_alpha 90.00
_cell_angle_beta 90.00
_cell_angle_gamma 90.00
_symmetry_space_group_name_H-M 'P 1'
_symmetry_Int_Tables_number 1
loop_
_symmetry_equiv_pos_as_xyz
'x,y,z'
loop_
_atom_site_label
_atom_site_fract_x
_atom_site_fract_y
_atom_site_fract_z
_atom_site_occupancy
Ba1 0.000 0.500 0.000 1
Ba2 0.500 0.000 0.000 1
Fe1 0.000 0.000 0.500 1
Pb1 0.500 0.500 0.500 1
N1 0.500 0.500 0.000 1
```